Computed, not measured: MgNbH after structural relaxation at the PBE-GGA level of DFT.

The structure in CIF format:
```
data_MgNbH
_chemical_formula_sum 'Mg2 Nb2 H2'
_symmetry_space_group_name_H-M 'P 4/n m m'
_symmetry_Int_Tables_number 129
_cell_length_a 3.6241
_cell_length_b 3.6241
_cell_length_c 6.4407
_cell_angle_alpha 90.00
_cell_angle_beta 90.00
_cell_angle_gamma 90.00
loop_
_symmetry_equiv_pos_as_xyz
'x,y,z'
'-x,-y,-z'
'-y+1/2,x,z'
'y+1/2,-x,-z'
'-x+1/2,-y+1/2,z'
'x+1/2,y+1/2,-z'
'y,-x+1/2,z'
'-y,x+1/2,-z'
'x+1/2,-y,-z'
'-x+1/2,y,z'
'-y,-x,-z'
'y,x,z'
'-x,y+1/2,-z'
'x,-y+1/2,z'
'y+1/2,x+1/2,-z'
'-y+1/2,-x+1/2,z'
loop_
_atom_site_label
_atom_site_fract_x
_atom_site_fract_y
_atom_site_fract_z
Mg1 0.2500 0.7500 0.0000
Nb1 0.2500 0.2500 0.4001
H1 0.2500 0.2500 0.7018
```

Calculated values
* energy above the lowest structure with this stoichiometry: 553 meV/atom
* raw total energy: -4.552 eV per atom